Model w:
CeMg14Zn GGA-PBE relaxed; crystal system = hexagonal
1.0
-2.720 2.859 -5.120
-3.687 -2.030 4.906
1.034 9.176 4.573
Ce Mg Zn
1 14 1
Direct
0.000 0.000 0.500 Ce
0.994 0.497 0.000 Mg
0.016 0.508 0.500 Mg
0.503 0.006 0.000 Mg
0.492 0.984 0.500 Mg
0.503 0.497 0.000 Mg
0.492 0.508 0.500 Mg
0.164 0.836 0.241 Mg
0.164 0.836 0.759 Mg
0.164 0.329 0.241 Mg
0.164 0.329 0.759 Mg
0.671 0.836 0.241 Mg
0.671 0.836 0.759 Mg
0.667 0.333 0.265 Mg
0.667 0.333 0.735 Mg
0.000 0.000 0.000 Zn

Model x:
CeMg14Zn GGA-PBE relaxed; crystal system = orthorhombic
1.0
-0.928 4.311 4.832
-1.380 1.408 -6.238
-9.568 -3.538 1.318
Ce Mg Zn
1 14 1
Direct
0.318 0.682 0.500 Ce
0.831 0.169 0.000 Mg
0.333 0.667 0.000 Mg
0.308 0.176 0.500 Mg
0.340 0.173 0.000 Mg
0.824 0.692 0.500 Mg
0.827 0.660 0.000 Mg
0.171 0.331 0.248 Mg
0.171 0.331 0.752 Mg
0.669 0.829 0.248 Mg
0.669 0.829 0.752 Mg
0.679 0.321 0.276 Mg
0.679 0.321 0.724 Mg
0.165 0.835 0.241 Mg
0.165 0.835 0.759 Mg
0.850 0.150 0.500 Zn

Compare the structures above. Which one is the most stable? model x is.